(1)
# meta-GGA SCAN BeNi, single point on PBEsol structure
data_BeNi
_symmetry_space_group_name_H-M 'P 1'
_symmetry_Int_Tables_number 1
_symmetry_space_group_name_Hall 'P 1'
_cell_length_a 3.723
_cell_length_b 3.723
_cell_length_c 3.723
_cell_angle_alpha 60.00
_cell_angle_beta 60.00
_cell_angle_gamma 60.00
loop_
_atom_site_label
_atom_site_type_symbol
_atom_site_fract_x
_atom_site_fract_y
_atom_site_fract_z
_atom_site_occupancy
Be1 Be 0.125 0.125 0.125 1
Be2 Be 0.875 0.875 0.875 1
Ni1 Ni 0.375 0.375 0.375 1
Ni2 Ni 0.625 0.625 0.625 1
# **Symmetry**: No. 227
# **Uncorrected energy**: -42.10 eV/cell
# **ΔH_f (0 K)**: -0.263 eV/atom

(2)
# meta-GGA SCAN TlCd2W, single point on PBEsol structure
data_TlCd2W
_symmetry_space_group_name_H-M 'P 1'
_symmetry_Int_Tables_number 1
_symmetry_space_group_name_Hall 'P 1'
_cell_length_a 2.918
_cell_length_b 2.918
_cell_length_c 9.575
_cell_angle_alpha 90.00
_cell_angle_beta 90.00
_cell_angle_gamma 90.00
loop_
_atom_site_label
_atom_site_type_symbol
_atom_site_fract_x
_atom_site_fract_y
_atom_site_fract_z
_atom_site_occupancy
Tl1 Tl 0.000 0.000 0.000 1
Cd1 Cd 0.500 0.500 0.281 1
Cd2 Cd 0.500 0.500 0.719 1
W1 W 0.000 0.000 0.500 1
# **Symmetry**: No. 123
# **Uncorrected energy**: -200.69 eV/cell
# **ΔH_f (0 K)**: 0.545 eV/atom

(3)
# meta-GGA SCAN ZrSb2Cl, single point on PBEsol structure
data_ZrSb2Cl
_symmetry_space_group_name_H-M 'P 1'
_symmetry_Int_Tables_number 1
_symmetry_space_group_name_Hall 'P 1'
_cell_length_a 3.605
_cell_length_b 8.107
_cell_length_c 8.107
_cell_angle_alpha 26.19
_cell_angle_beta 90.00
_cell_angle_gamma 90.00
loop_
_atom_site_label
_atom_site_type_symbol
_atom_site_fract_x
_atom_site_fract_y
_atom_site_fract_z
_atom_site_occupancy
Zr1 Zr 0.000 0.000 0.000 1
Sb1 Sb 0.000 0.197 0.197 1
Sb2 Sb 0.500 0.586 0.586 1
Cl1 Cl 0.500 0.884 0.884 1
# **Energy relative to the elements, uncorrected**: -0.7016 eV/atom
# **Symmetry**: No. 38
# **Uncorrected energy**: -116.00 eV/cell

(4)
# meta-GGA SCAN MnSiP3, single point on PBEsol structure
data_MnSiP3
_symmetry_space_group_name_H-M 'P 1'
_symmetry_Int_Tables_number 1
_symmetry_space_group_name_Hall 'P 1'
_cell_length_a 4.309
_cell_length_b 4.309
_cell_length_c 4.309
_cell_angle_alpha 90.00
_cell_angle_beta 90.00
_cell_angle_gamma 90.00
loop_
_atom_site_label
_atom_site_type_symbol
_atom_site_fract_x
_atom_site_fract_y
_atom_site_fract_z
_atom_site_occupancy
Mn1 Mn 0.000 0.000 0.000 1
Si1 Si 0.500 0.500 0.500 1
P1 P 0.000 0.000 0.500 1
P2 P 0.000 0.500 0.000 1
P3 P 0.500 0.000 0.000 1
# **Energy relative to the elements, uncorrected**: 0.8277 eV/atom
# **Symmetry**: No. 221
# **Uncorrected energy**: -55.33 eV/cell

(5)
# meta-GGA SCAN TlZnAg2, single point on PBEsol structure
data_TlZnAg2
_symmetry_space_group_name_H-M 'P 1'
_symmetry_Int_Tables_number 1
_symmetry_space_group_name_Hall 'P 1'
_cell_length_a 4.999
_cell_length_b 4.999
_cell_length_c 4.902
_cell_angle_alpha 102.36
_cell_angle_beta 102.36
_cell_angle_gamma 37.98
loop_
_atom_site_label
_atom_site_type_symbol
_atom_site_fract_x
_atom_site_fract_y
_atom_site_fract_z
_atom_site_occupancy
Tl1 Tl 0.000 0.000 0.000 1
Zn1 Zn 0.756 0.756 0.292 1
Ag1 Ag 0.240 0.240 0.735 1
Ag2 Ag 0.492 0.492 0.491 1
# **Symmetry**: No. 8
# **Uncorrected energy**: -147.97 eV/cell
# **ΔH_f (0 K)**: 0.160 eV/atom

(6)
# meta-GGA SCAN Ba2TlGe2, single point on PBEsol structure
data_Ba2TlGe2
_symmetry_space_group_name_H-M 'P 1'
_symmetry_Int_Tables_number 1
_symmetry_space_group_name_Hall 'P 1'
_cell_length_a 10.850
_cell_length_b 10.850
_cell_length_c 10.850
_cell_angle_alpha 159.65
_cell_angle_beta 159.65
_cell_angle_gamma 28.94
loop_
_atom_site_label
_atom_site_type_symbol
_atom_site_fract_x
_atom_site_fract_y
_atom_site_fract_z
_atom_site_occupancy
Ba1 Ba 0.113 0.113 0.000 1
Ba2 Ba 0.887 0.887 0.000 1
Tl1 Tl 0.500 0.500 0.000 1
Ge1 Ge 0.250 0.750 0.500 1
Ge2 Ge 0.750 0.250 0.500 1
# **Symmetry**: No. 139
# **Uncorrected energy**: -191.22 eV/cell
# **ΔH_f (0 K)**: -0.317 eV/atom

(7)
# meta-GGA SCAN Zn2SO, single point on PBEsol structure
data_Zn2SO
_symmetry_space_group_name_H-M 'P 1'
_symmetry_Int_Tables_number 1
_symmetry_space_group_name_Hall 'P 1'
_cell_length_a 6.047
_cell_length_b 6.047
_cell_length_c 6.047
_cell_angle_alpha 131.64
_cell_angle_beta 131.64
_cell_angle_gamma 70.80
loop_
_atom_site_label
_atom_site_type_symbol
_atom_site_fract_x
_atom_site_fract_y
_atom_site_fract_z
_atom_site_occupancy
Zn1 Zn 0.071 0.625 0.946 1
Zn2 Zn 0.375 0.321 0.446 1
Zn3 Zn 0.679 0.125 0.054 1
Zn4 Zn 0.875 0.929 0.554 1
S1 S 0.250 0.750 0.500 1
S2 S 0.500 0.500 0.000 1
O1 O 0.000 0.000 0.000 1
O2 O 0.750 0.250 0.500 1
# **Energy relative to the elements, uncorrected**: -1.2156 eV/atom
# **Symmetry**: No. 122
# **Uncorrected energy**: -95.50 eV/cell

(8)
# meta-GGA SCAN K2IrPt, single point on PBEsol structure
data_K2IrPt
_symmetry_space_group_name_H-M 'P 1'
_symmetry_Int_Tables_number 1
_symmetry_space_group_name_Hall 'P 1'
_cell_length_a 3.506
_cell_length_b 3.506
_cell_length_c 9.802
_cell_angle_alpha 90.00
_cell_angle_beta 90.00
_cell_angle_gamma 90.00
loop_
_atom_site_label
_atom_site_type_symbol
_atom_site_fract_x
_atom_site_fract_y
_atom_site_fract_z
_atom_site_occupancy
K1 K 0.000 0.000 0.000 1
K2 K 0.500 0.500 0.442 1
Ir1 Ir 0.500 0.500 0.749 1
Pt1 Pt 0.000 0.000 0.689 1
# **Symmetry**: No. 99
# **Uncorrected energy**: -156.92 eV/cell
# **ΔH_f (0 K)**: 0.256 eV/atom

(9)
# meta-GGA SCAN BaWNO2, single point on PBEsol structure
data_BaWNO2
_symmetry_space_group_name_H-M 'P 1'
_symmetry_Int_Tables_number 1
_symmetry_space_group_name_Hall 'P 1'
_cell_length_a 4.036
_cell_length_b 4.036
_cell_length_c 4.017
_cell_angle_alpha 90.00
_cell_angle_beta 90.00
_cell_angle_gamma 90.00
loop_
_atom_site_label
_atom_site_type_symbol
_atom_site_fract_x
_atom_site_fract_y
_atom_site_fract_z
_atom_site_occupancy
Ba1 Ba 0.000 0.000 0.000 1
W1 W 0.500 0.500 0.500 1
N1 N 0.500 0.500 0.000 1
O1 O 0.000 0.500 0.500 1
O2 O 0.500 0.000 0.500 1
# **Energy relative to the elements, uncorrected**: -2.0047 eV/atom
# **Symmetry**: No. 123
# **Uncorrected energy**: -141.02 eV/cell

(10)
# meta-GGA SCAN TlCoAg, single point on PBEsol structure
data_TlCoAg
_symmetry_space_group_name_H-M 'P 1'
_symmetry_Int_Tables_number 1
_symmetry_space_group_name_Hall 'P 1'
_cell_length_a 4.260
_cell_length_b 4.260
_cell_length_c 4.260
_cell_angle_alpha 60.00
_cell_angle_beta 60.00
_cell_angle_gamma 60.00
loop_
_atom_site_label
_atom_site_type_symbol
_atom_site_fract_x
_atom_site_fract_y
_atom_site_fract_z
_atom_site_occupancy
Tl1 Tl 0.000 0.000 0.000 1
Co1 Co 0.250 0.250 0.250 1
Ag1 Ag 0.500 0.500 0.500 1
# **Symmetry**: No. 216
# **Uncorrected energy**: -118.86 eV/cell
# **ΔH_f (0 K)**: 0.725 eV/atom

(11)
# meta-GGA SCAN KMn2Pb, single point on PBEsol structure
data_KMn2Pb
_symmetry_space_group_name_H-M 'P 1'
_symmetry_Int_Tables_number 1
_symmetry_space_group_name_Hall 'P 1'
_cell_length_a 4.997
_cell_length_b 4.997
_cell_length_c 4.997
_cell_angle_alpha 120.04
_cell_angle_beta 119.96
_cell_angle_gamma 90.00
loop_
_atom_site_label
_atom_site_type_symbol
_atom_site_fract_x
_atom_site_fract_y
_atom_site_fract_z
_atom_site_occupancy
K1 K 0.000 0.000 0.000 1
Mn1 Mn 0.251 0.751 0.500 1
Mn2 Mn 0.749 0.249 0.500 1
Pb1 Pb 0.500 0.500 0.000 1
# **Symmetry**: No. 71
# **Uncorrected energy**: -119.08 eV/cell
# **ΔH_f (0 K)**: 0.385 eV/atom

(12)
# meta-GGA SCAN Dy3Zr, single point on PBEsol structure
data_Dy3Zr
_symmetry_space_group_name_H-M 'P 1'
_symmetry_Int_Tables_number 1
_symmetry_space_group_name_Hall 'P 1'
_cell_length_a 5.832
_cell_length_b 5.832
_cell_length_c 5.832
_cell_angle_alpha 131.67
_cell_angle_beta 131.67
_cell_angle_gamma 70.75
loop_
_atom_site_label
_atom_site_type_symbol
_atom_site_fract_x
_atom_site_fract_y
_atom_site_fract_z
_atom_site_occupancy
Dy1 Dy 0.000 0.000 0.000 1
Dy2 Dy 0.250 0.750 0.500 1
Dy3 Dy 0.750 0.250 0.500 1
Zr1 Zr 0.500 0.500 0.000 1
# **Symmetry**: No. 139
# **Uncorrected energy**: -173.74 eV/cell
# **ΔH_f (0 K)**: 0.088 eV/atom

(13)
# meta-GGA SCAN RbEu2Cl7, single point on PBEsol structure
data_RbEu2Cl7
_symmetry_space_group_name_H-M 'P 1'
_symmetry_Int_Tables_number 1
_symmetry_space_group_name_Hall 'P 1'
_cell_length_a 12.735
_cell_length_b 6.955
_cell_length_c 12.987
_cell_angle_alpha 90.00
_cell_angle_beta 90.00
_cell_angle_gamma 90.00
loop_
_atom_site_label
_atom_site_type_symbol
_atom_site_fract_x
_atom_site_fract_y
_atom_site_fract_z
_atom_site_occupancy
Rb1 Rb 0.043 0.250 0.196 1
Rb2 Rb 0.457 0.750 0.696 1
Rb3 Rb 0.543 0.250 0.304 1
Rb4 Rb 0.957 0.750 0.804 1
Eu1 Eu 0.239 0.250 0.541 1
Eu2 Eu 0.249 0.750 0.338 1
Eu3 Eu 0.251 0.250 0.838 1
Eu4 Eu 0.261 0.750 0.041 1
Eu5 Eu 0.739 0.250 0.959 1
Eu6 Eu 0.749 0.750 0.162 1
Eu7 Eu 0.751 0.250 0.662 1
Eu8 Eu 0.761 0.750 0.459 1
Cl1 Cl 0.099 0.750 0.186 1
Cl2 Cl 0.115 0.012 0.420 1
Cl3 Cl 0.115 0.488 0.420 1
Cl4 Cl 0.125 0.009 0.957 1
Cl5 Cl 0.125 0.491 0.957 1
Cl6 Cl 0.170 0.004 0.692 1
Cl7 Cl 0.170 0.496 0.692 1
Cl8 Cl 0.330 0.504 0.192 1
Cl9 Cl 0.330 0.996 0.192 1
Cl10 Cl 0.375 0.509 0.457 1
Cl11 Cl 0.375 0.991 0.457 1
Cl12 Cl 0.385 0.512 0.920 1
Cl13 Cl 0.385 0.988 0.920 1
Cl14 Cl 0.401 0.250 0.686 1
Cl15 Cl 0.599 0.750 0.314 1
Cl16 Cl 0.615 0.012 0.080 1
Cl17 Cl 0.615 0.488 0.080 1
Cl18 Cl 0.625 0.009 0.543 1
Cl19 Cl 0.625 0.491 0.543 1
Cl20 Cl 0.670 0.004 0.808 1
Cl21 Cl 0.670 0.496 0.808 1
Cl22 Cl 0.830 0.504 0.308 1
Cl23 Cl 0.830 0.996 0.308 1
Cl24 Cl 0.875 0.509 0.043 1
Cl25 Cl 0.875 0.991 0.043 1
Cl26 Cl 0.885 0.512 0.580 1
Cl27 Cl 0.885 0.988 0.580 1
Cl28 Cl 0.901 0.250 0.814 1
# **Energy relative to the elements, uncorrected**: -2.1499 eV/atom
# **Symmetry**: No. 62
# **Uncorrected energy**: -822.03 eV/cell